# 1
A plane-wave DFT calculation with PBE-GGA was carried out for an optimized crystal structure of Ac4P2O.

Summary:
raw formation energy: -1.289 eV/atom

Unit cell a=4.9387 b=4.9387 c=16.4024 alpha=90.00 beta=90.00 gamma=90.00
Last column: nearest neighbours and their distance in Å.
Space group I4/mmm (No. 139)
Symmetry-distinct sites (fractional):
Ac (0.0000, 0.0000, 0.1800) [4 per cell]  1 O 2.95, 1 P 3.12
Ac (0.0000, 0.5000, 0.0000) [4 per cell]  2 O 2.47
P (0.0000, 0.0000, 0.3699) [4 per cell]  5 Ac 3.12-3.26
O (0.0000, 0.0000, 0.0000) [2 per cell]  4 Ac 2.47

# 2
A plane-wave DFT calculation with PBE-GGA was carried out for an optimized crystal structure of AcPO.

Summary:
raw formation energy: -2.276 eV/atom
energy above the lowest structure with this stoichiometry: 0.000 eV per atom

Unit cell a=4.2628 b=14.3520 c=4.1381 alpha=90.00 beta=90.00 gamma=90.00
Last column: nearest neighbours and their distance in Å.
Space group Cmcm (No. 63)
Symmetry-distinct sites (fractional):
Ac (0.0000, 0.1597, 0.2500) [4 per cell]  4 O 2.46-2.47
P (0.0000, 0.4656, 0.2500) [4 per cell]  2 P 2.29
O (0.0000, 0.2528, 0.7500) [4 per cell]  4 Ac 2.46-2.47

# 3
A plane-wave DFT calculation with PBE-GGA was carried out for an optimized crystal structure of Ac6PO12.

Summary:
raw formation energy: -2.935 eV/atom

Unit cell a=10.6217 b=10.6217 c=10.0252 alpha=90.00 beta=90.00 gamma=120.00
Last column: nearest neighbours and their distance in Å.
Space group R-3 (No. 148, hexagonal axes)
Symmetry-distinct sites (fractional):
Ac (0.0503, 0.2523, 0.1571) [18 per cell]  5 O 2.41-2.64
P (0.0000, 0.0000, 0.5000) [3 per cell]  6 O 1.78
O (0.0365, 0.1534, 0.4011) [18 per cell]  1 P 1.78
O (0.0410, 0.2305, 0.9080) [18 per cell]  4 Ac 2.41-2.51